SnMoO4: optimized geometry, PBE with a Hubbard U.

abc: 6.5949 6.5949 6.5949
angles: 120.76 120.76 88.69
With the nearest neighbours (Å) after each atom.
Fractional coordinates of all 6 atoms:
1 Sn 0.0000 0.0000 0.0000  4 O 2.31
2 Mo 0.7500 0.2500 0.5000  4 O 1.80
3 O 0.4233 0.2030 0.3465  1 Mo 1.80
4 O 0.7970 0.1435 0.2203  1 Mo 1.80
5 O 0.8565 0.0768 0.6535  1 Mo 1.80
6 O 0.9232 0.5767 0.7797  1 Mo 1.80

Computed properties:
space-group type	I-4 (82)
size of the total moment	0.0	μB/cell
theoretical density	2.308	g/cm3
crystal system	tetragonal
raw total energy	-6.580	eV/atom
V	200.4	Å³/f.u.